(1)
# PrHo2Al2, optimized geometry, DFT PBE
data_PrHo2Al2
_chemical_formula_sum 'Pr2 Ho4 Al4'
_space_group_name_H-M_alt 'P 1 21/m 1'
_space_group_IT_number 11
_cell_length_a 5.617
_cell_length_b 3.776
_cell_length_c 13.237
_cell_angle_alpha 90.00
_cell_angle_beta 96.51
_cell_angle_gamma 90.00
loop_
_space_group_symop_operation_xyz
'x,y,z'
'-x,-y,-z'
'-x,y+1/2,-z'
'x,-y+1/2,z'
loop_
_atom_site_label
_atom_site_type_symbol
_atom_site_fract_x
_atom_site_fract_y
_atom_site_fract_z
Pr1 Pr 0.180 0.250 0.234
Ho1 Ho 0.240 0.750 0.464
Ho2 Ho 0.350 0.250 0.890
Al1 Al 0.144 0.750 0.036
Al2 Al 0.293 0.250 0.657
# * excess energy over the best structure of this formula in the dataset: 118 meV/atom
# * ΔE_f: -0.16 eV/atom



(2)
# PrHo7Al4, optimized geometry, DFT PBE
data_PrHo7Al4
_chemical_formula_sum 'Pr2 Ho14 Al8'
_space_group_name_H-M_alt 'C 1 2/m 1'
_space_group_IT_number 12
_cell_length_a 13.847
_cell_length_b 5.508
_cell_length_c 10.408
_cell_angle_alpha 90.00
_cell_angle_beta 124.53
_cell_angle_gamma 90.00
loop_
_space_group_symop_operation_xyz
'x,y,z'
'-x,-y,-z'
'-x,y,-z'
'x,-y,z'
'x+1/2,y+1/2,z'
'-x+1/2,-y+1/2,-z'
'-x+1/2,y+1/2,-z'
'x+1/2,-y+1/2,z'
loop_
_atom_site_label
_atom_site_type_symbol
_atom_site_fract_x
_atom_site_fract_y
_atom_site_fract_z
Pr1 Pr 0.000 0.000 0.000
Ho1 Ho 0.000 0.500 0.000
Ho2 Ho 0.066 0.000 0.391
Ho3 Ho 0.201 0.500 0.643
Ho4 Ho 0.212 0.000 0.876
Al1 Al 0.054 0.500 0.763
Al2 Al 0.178 0.500 0.332
# * ΔE_f: -0.05 eV/atom



(3)
# PrHo6Al, optimized geometry, DFT PBE
data_PrHo6Al
_chemical_formula_sum 'Pr2 Ho12 Al2'
_space_group_name_H-M_alt 'C 1 2/m 1'
_space_group_IT_number 12
_cell_length_a 6.875
_cell_length_b 12.070
_cell_length_c 6.824
_cell_angle_alpha 90.00
_cell_angle_beta 119.29
_cell_angle_gamma 90.00
loop_
_space_group_symop_operation_xyz
'x,y,z'
'-x,-y,-z'
'-x,y,-z'
'x,-y,z'
'x+1/2,y+1/2,z'
'-x+1/2,-y+1/2,-z'
'-x+1/2,y+1/2,-z'
'x+1/2,-y+1/2,z'
loop_
_atom_site_label
_atom_site_type_symbol
_atom_site_fract_x
_atom_site_fract_y
_atom_site_fract_z
Pr1 Pr 0.000 0.000 0.000
Ho1 Ho 0.022 0.219 0.744
Ho2 Ho 0.030 0.500 0.264
Al1 Al 0.000 0.000 0.500
# * ΔE_f: 0.25 eV/atom